1.
Density functional theory data (PBE) for crystalline Dy6CoBi at its relaxed geometry.

magnetic moment	0.00	μB per formula unit
E_tot	-118.02	eV/cell

a = 6.7136 Å, b = 6.7136 Å, c = 19.9339 Å
α = 90.00°, β = 90.00°, γ = 120.00°
Space group R-3 (No. 148, hexagonal axes)
One atom of each set of equivalent atoms:
Dy  0.0015  0.3723  0.4077 x18
Co  0.0000  0.0000  0.0000 x3
Bi  0.0000  0.0000  0.5000 x3

=====

2.
Density functional theory data (PBE) for crystalline Li3AlAg2 at its relaxed geometry.

ΔE to the lowest computed polymorph	0.000	eV per formula unit
magnetic moment	0.00	μB per formula unit

a = 5.774 Å, b = 7.663 Å, c = 9.119 Å
α = 90.00°, β = 108.19°, γ = 90.00°
Space group C2/c (No. 15)
One atom of each set of equivalent atoms:
Li  0.000  0.125  0.250 x4
Li  0.170  0.125  0.589 x8
Al  0.000  0.374  0.750 x4
Ag  0.169  0.375  0.090 x8